A relaxed structure of CeHgRh. Source: Alexandria, functional GGA-PBE. Values from VASP.

The structure in Quantum ESPRESSO input format:
```
&SYSTEM
  ibrav = 0, nat = 3, ntyp = 3
/
ATOMIC_SPECIES
Rh 102.91 Rh.upf
Ce 140.12 Ce.upf
Hg 200.59 Hg.upf
ATOMIC_POSITIONS angstrom
Rh 1.326 -2.352 0.789
Ce -1.645 -2.384 2.028
Hg -0.081 0.008 0.547
CELL_PARAMETERS angstrom
-0.486 0.048 3.282
-4.049 -2.472 -0.564
4.135 -2.304 0.647
```

## Properties
As for the formation energy: -0.372 eV/atom. Its space-group type is No. 187. The total magnetization comes out at 0.46 μB per formula unit.